Here is a relaxed structure of MnCdNi2 from Alexandria. Energies are from GGA-PBEsol.

Properties
Magnetic moment (μB/atom): 1.093
Energy of formation (eV/atom): 0.182
Theoretical density (kg/m3): 8829

Cell: 2.728 4.021 5.067 Å, 90.00 105.54 90.00°
Sites, in units of the cell vectors:
Cd  0.541  0.000  0.461
Mn  0.219  0.500  0.810
Ni  0.807  0.000  0.980
Ni  0.934  0.500  0.249

---

Here is a relaxed structure of MnCdNi6 from Alexandria. Energies are from GGA-PBEsol.

Properties
Magnetic moment (μB/atom): 0.689
Energy of formation (eV/atom): 0.042
Theoretical density (kg/m3): 9349

Cell: 6.208 6.208 10.169 Å, 90.00 90.00 109.64°
Sites, in units of the cell vectors:
Cd  0.245  0.755  0.500
Cd  0.755  0.245  0.500
Cd  0.000  0.000  0.752
Cd  0.000  0.000  0.248
Mn  0.247  0.753  0.000
Mn  0.753  0.247  0.000
Mn  0.500  0.500  0.753
Mn  0.500  0.500  0.247
Ni  0.255  0.745  0.759
Ni  0.870  0.616  0.880
Ni  0.130  0.384  0.880
Ni  0.745  0.255  0.759
Ni  0.384  0.130  0.880
Ni  0.616  0.870  0.880
Ni  0.500  0.500  0.500
Ni  0.137  0.383  0.632
Ni  0.383  0.137  0.632
Ni  0.255  0.745  0.241
Ni  0.863  0.617  0.368
Ni  0.137  0.383  0.368
Ni  0.745  0.255  0.241
Ni  0.383  0.137  0.368
Ni  0.617  0.863  0.368
Ni  0.500  0.500  0.000
Ni  0.130  0.384  0.120
Ni  0.384  0.130  0.120
Ni  0.000  0.000  0.500
Ni  0.617  0.863  0.632
Ni  0.863  0.617  0.632
Ni  0.000  0.000  0.000
Ni  0.616  0.870  0.120
Ni  0.870  0.616  0.120

---

Here is a relaxed structure of Mn2CdNi from Alexandria. Energies are from GGA-PBEsol.

Properties
Magnetic moment (μB/atom): 0.139
Energy of formation (eV/atom): 0.279
Theoretical density (kg/m3): 8538

Cell: 4.260 4.260 4.260 Å, 60.00 60.00 60.00°
Sites, in units of the cell vectors:
Cd  0.500  0.500  0.500
Mn  0.000  0.000  0.000
Mn  0.750  0.750  0.750
Ni  0.250  0.250  0.250

---

Here is a relaxed structure of Mn2CdNi from Alexandria. Energies are from GGA-PBEsol.

Properties
Magnetic moment (μB/atom): 0.000
Energy of formation (eV/atom): 0.393
Theoretical density (kg/m3): 9087

Cell: 2.585 3.846 5.166 Å, 90.00 90.00 90.00°
Sites, in units of the cell vectors:
Cd  0.500  0.500  0.500
Mn  0.000  0.000  0.811
Mn  0.000  0.000  0.189
Ni  0.500  0.500  0.000

---

Here is a relaxed structure of Mn2CdNi from Alexandria. Energies are from GGA-PBEsol.

Properties
Magnetic moment (μB/atom): 1.920
Energy of formation (eV/atom): 0.352
Theoretical density (kg/m3): 8296

Cell: 3.765 3.865 3.865 Å, 90.00 90.00 90.00°
Sites, in units of the cell vectors:
Cd  0.500  0.000  0.000
Mn  0.000  0.000  0.500
Mn  0.000  0.500  0.000
Ni  0.500  0.500  0.500

---

Here is a relaxed structure of MnCdNi2 from Alexandria. Energies are from GGA-PBEsol.

Properties
Magnetic moment (μB/atom): 1.058
Energy of formation (eV/atom): 0.040
Theoretical density (kg/m3): 9082

Cell: 2.897 2.897 6.205 Å, 90.00 90.00 90.00°
Sites, in units of the cell vectors:
Ni  0.000  0.000  0.716
Ni  0.000  0.000  0.284
Mn  0.500  0.500  0.500
Cd  0.500  0.500  0.000

---

- The lowest theoretical density belongs to which entry?
  number 5